1.
# SrGaCu2Re

SrGaCu2Re after structural relaxation (GGA-PBEsol, the Alexandria database).

Cell: 4.833 4.833 5.094 Å, 90.00 90.00 90.00°
Site moments in Bohr magnetons follow the coordinates.
Sites, in units of the cell vectors:
Re 0.000 0.000 0.500  1.29
Cu 0.500 0.000 0.000  0.00
Ga 0.500 0.500 0.500  0.00
Cu 0.000 0.500 0.000  0.00
Sr 0.000 0.000 0.000  -0.03

ΔE_f ... 2.39 eV/atom
Total moment ... 1.46 μB per formula unit
Calculated density ... 6.57 g cm⁻³
Space group ... No. 123



2.
# Sb2Pb2O7

Sb2Pb2O7 after structural relaxation (GGA-PBEsol, the Alexandria database).

Cell: 7.586 7.586 7.586 Å, 60.00 60.00 60.00°
Site moments in Bohr magnetons follow the coordinates.
Sites, in units of the cell vectors:
Sb 0.625 0.125 0.625  0.00
Sb 0.125 0.625 0.625  0.00
O 0.558 0.942 0.942  0.01
Pb 0.125 0.625 0.125  0.04
Sb 0.625 0.625 0.625  0.00
O 0.558 0.942 0.558  0.01
O 0.308 0.692 0.308  0.01
O 0.692 0.308 0.308  0.01
O 0.692 0.308 0.692  0.01
O 0.000 0.000 0.000  0.20
O 0.692 0.692 0.308  0.01
O 0.308 0.692 0.692  0.01
O 0.308 0.308 0.692  0.01
O 0.942 0.558 0.558  0.01
Pb 0.625 0.125 0.125  0.04
O 0.558 0.558 0.942  0.01
O 0.942 0.942 0.558  0.01
O 0.250 0.250 0.250  0.20
O 0.942 0.558 0.942  0.01
Sb 0.625 0.625 0.125  0.00
Pb 0.125 0.125 0.625  0.04
Pb 0.125 0.125 0.125  0.04

Total moment ... 0.35 μB per formula unit
E_form (uncorrected) ... -14.5 eV/f.u.
Calculated density ... 8.28 g cm⁻³
Space group ... No. 227



3.
# CsLiSF2

CsLiSF2 after structural relaxation (GGA-PBEsol, the Alexandria database).

Cell: 4.639 4.639 5.964 Å, 90.00 90.00 90.00°
Sites, in units of the cell vectors:
F 0.500 0.000 0.000
S 0.000 0.000 0.000
Cs 0.000 0.000 0.500
Li 0.500 0.500 0.500
F 0.000 0.500 0.000

Total moment ... 0.00 μB per formula unit
E_form (uncorrected) ... -2.3 eV/f.u.
Calculated density ... 2.72 g cm⁻³
Space group ... No. 123



4.
# InAs4Pb

InAs4Pb after structural relaxation (GGA-PBEsol, the Alexandria database).

Cell: 5.718 5.718 5.718 Å, 60.00 60.00 60.00°
Sites, in units of the cell vectors:
As 0.378 0.865 0.378
As 0.378 0.378 0.378
As 0.865 0.378 0.378
Pb 0.000 0.000 0.000
In 0.750 0.750 0.750
As 0.378 0.378 0.865

ΔE_f ... 0.22 eV/atom
Total moment ... 0.00 μB per formula unit
Calculated density ... 7.81 g cm⁻³
Space group ... No. 216